Li4InAg3 PBE relaxed; density of states at the Fermi level = 2.76 states/eV/cell; VASP energy = -20.33 eV per cell; ΔE_f = -4.0 kcal/mol of atoms; excess energy over the best structure of this formula in the dataset = 58 meV per atom
1.0
-3.5479 -0.7249 1.5473
1.7748 -2.8351 2.7412
0.2866 10.6536 0.6373
In Li Ag
1 4 3
Direct
0.5000 0.0000 0.0000 In
0.7508 0.7521 0.5015 Li
0.6241 0.8719 0.2483 Li
0.2492 0.2479 0.4985 Li
0.3759 0.1281 0.7517 Li
0.8670 0.6005 0.7341 Ag
0.0000 0.5000 0.0000 Ag
0.1330 0.3995 0.2659 Ag